A plane-wave DFT calculation with GGA-PBEsol was carried out for ZrZn after structural relaxation.

Unit cell a=3.8239 b=3.8239 c=3.8239 alpha=60.00 beta=60.00 gamma=60.00
Sites, in units of the cell vectors:
Zr (0.0000, 0.0000, 0.0000)
Zn (0.5000, 0.5000, 0.5000)

crystal system: cubic
magnetic moment: 0.00 Bohr magnetons per cell
SG: Fm-3m, No. 225
final energy: -5.175 eV per atom
DOS(E_F): 2.4 states/eV/f.u.

A plane-wave DFT calculation with GGA-PBEsol was carried out for Cs3BeN after structural relaxation.

Unit cell a=5.8967 b=5.8967 c=5.8967 alpha=90.00 beta=90.00 gamma=90.00
Sites, in units of the cell vectors:
Cs (0.0000, 0.0000, 0.5000)
Cs (0.0000, 0.5000, 0.0000)
Cs (0.5000, 0.0000, 0.0000)
Be (0.5000, 0.5000, 0.5000)
N (0.0000, 0.0000, 0.0000)

crystal system: cubic
magnetic moment: 1.90 Bohr magnetons per cell
SG: Pm-3m, No. 221
final energy: -2.164 eV per atom
uncorrected formation energy: 4.53 eV/f.u.
DOS(E_F): 4.0 states/eV/f.u.

A plane-wave DFT calculation with GGA-PBEsol was carried out for PrSb2Pd after structural relaxation.

Unit cell a=4.4426 b=4.4426 c=9.8089 alpha=90.00 beta=90.00 gamma=90.00
Sites, in units of the cell vectors:
Pr (0.2500, 0.2500, 0.2473)
Pr (0.7500, 0.7500, 0.7527)
Sb (0.2500, 0.2500, 0.8475)
Sb (0.2500, 0.7500, 0.5000)
Sb (0.7500, 0.2500, 0.5000)
Sb (0.7500, 0.7500, 0.1525)
Pd (0.2500, 0.7500, 0.0000)
Pd (0.7500, 0.2500, 0.0000)

crystal system: tetragonal
magnetic moment: 0.00 Bohr magnetons per cell
SG: P4/nmm, No. 129
final energy: -5.947 eV per atom
uncorrected formation energy: -3.53 eV/f.u.
DOS(E_F): 2.8 states/eV/f.u.

A plane-wave DFT calculation with GGA-PBEsol was carried out for Cd2RuAu after structural relaxation.

Unit cell a=4.8635 b=4.8635 c=4.8635 alpha=129.04 beta=129.04 gamma=74.94
Sites, in units of the cell vectors:
Cd (0.2500, 0.7500, 0.5000)
Cd (0.7500, 0.2500, 0.5000)
Ru (0.0000, 0.0000, 0.0000)
Au (0.5000, 0.5000, 0.0000)

crystal system: tetragonal
magnetic moment: 0.22 Bohr magnetons per cell
SG: I4/mmm, No. 139
final energy: -3.924 eV per atom
DOS(E_F): 3.3 states/eV/f.u.

A plane-wave DFT calculation with GGA-PBEsol was carried out for MnW2Cl after structural relaxation.

Unit cell a=4.2911 b=4.2911 c=4.2911 alpha=60.00 beta=60.00 gamma=60.00
Sites, in units of the cell vectors:
Mn (0.0000, 0.0000, 0.0000)
W (0.2500, 0.2500, 0.2500)
W (0.7500, 0.7500, 0.7500)
Cl (0.5000, 0.5000, 0.5000)

crystal system: cubic
magnetic moment: 1.79 Bohr magnetons per cell
SG: Fm-3m, No. 225
final energy: -8.924 eV per atom
uncorrected formation energy: 3.69 eV/f.u.
DOS(E_F): 3.6 states/eV/f.u.

A plane-wave DFT calculation with GGA-PBEsol was carried out for TlRe2 after structural relaxation.

Unit cell a=2.8806 b=2.8806 c=7.0477 alpha=90.00 beta=90.00 gamma=120.00
Sites, in units of the cell vectors:
Tl (0.0000, 0.0000, 0.0000)
Re (0.3333, 0.6667, 0.3578)
Re (0.6667, 0.3333, 0.6422)

crystal system: trigonal
magnetic moment: 0.00 Bohr magnetons per cell
SG: P-3m1, No. 164
final energy: -9.177 eV per atom
DOS(E_F): 2.1 states/eV/f.u.

A plane-wave DFT calculation with GGA-PBEsol was carried out for Li2BrCl after structural relaxation.

Unit cell a=3.6176 b=6.6558 c=6.6558 alpha=31.29 beta=90.00 gamma=90.00
Sites, in units of the cell vectors:
Li (0.0000, 0.0000, 0.0000)
Li (0.5000, 0.3283, 0.3283)
Br (0.5000, 0.5343, 0.5343)
Cl (0.0000, 0.8136, 0.8136)

crystal system: orthorhombic
magnetic moment: 0.00 Bohr magnetons per cell
SG: Amm2, No. 38
final energy: -3.584 eV per atom
uncorrected formation energy: -6.53 eV/f.u.
DOS(E_F): 0.0 states/eV/f.u.

A plane-wave DFT calculation with GGA-PBEsol was carried out for P2Br after structural relaxation.

Unit cell a=8.3095 b=8.3095 c=5.7466 alpha=101.99 beta=101.99 gamma=23.26
Sites, in units of the cell vectors:
P (0.0262, 0.0262, 0.3340)
P (0.3835, 0.3835, 0.5137)
P (0.6165, 0.6165, 0.4863)
P (0.9738, 0.9738, 0.6660)
Br (0.3097, 0.3097, 0.8035)
Br (0.6903, 0.6903, 0.1965)

crystal system: monoclinic
magnetic moment: 0.00 Bohr magnetons per cell
SG: C2/m, No. 12
final energy: -4.504 eV per atom
uncorrected formation energy: -0.06 eV/f.u.

A plane-wave DFT calculation with GGA-PBEsol was carried out for Cs3TaTc after structural relaxation.

Unit cell a=6.8345 b=6.8345 c=6.8345 alpha=90.00 beta=90.00 gamma=90.00
Sites, in units of the cell vectors:
Cs (0.0000, 0.0000, 0.5000)
Cs (0.0000, 0.5000, 0.0000)
Cs (0.5000, 0.0000, 0.0000)
Ta (0.0000, 0.0000, 0.0000)
Tc (0.5000, 0.5000, 0.5000)

crystal system: cubic
magnetic moment: 8.88 Bohr magnetons per cell
SG: Pm-3m, No. 221
final energy: -2.827 eV per atom
DOS(E_F): 9.9 states/eV/f.u.

A plane-wave DFT calculation with GGA-PBEsol was carried out for HoSi after structural relaxation.

Unit cell a=7.7663 b=3.7792 c=5.6080 alpha=90.00 beta=90.00 gamma=90.00
Sites, in units of the cell vectors:
Ho (0.1791, 0.2500, 0.1150)
Ho (0.3209, 0.7500, 0.6150)
Ho (0.6791, 0.2500, 0.3850)
Ho (0.8209, 0.7500, 0.8850)
Si (0.0382, 0.2500, 0.6301)
Si (0.4618, 0.7500, 0.1301)
Si (0.5382, 0.2500, 0.8699)
Si (0.9618, 0.7500, 0.3699)

crystal system: orthorhombic
magnetic moment: 0.00 Bohr magnetons per cell
SG: Pnma, No. 62
final energy: -6.246 eV per atom
uncorrected formation energy: -1.80 eV/f.u.
DOS(E_F): 0.9 states/eV/f.u.

A plane-wave DFT calculation with GGA-PBEsol was carried out for SrH2O after structural relaxation.

Unit cell a=9.2453 b=9.2453 c=9.2453 alpha=158.79 beta=158.79 gamma=30.18
Sites, in units of the cell vectors:
Sr (0.3750, 0.6250, 0.7500)
Sr (0.6250, 0.3750, 0.2500)
H (0.0000, 0.0000, 0.0000)
H (0.0000, 0.0000, 0.5000)
H (0.0000, 0.5000, 0.0000)
H (0.5000, 0.0000, 0.5000)
O (0.1250, 0.8750, 0.2500)
O (0.8750, 0.1250, 0.7500)

crystal system: tetragonal
magnetic moment: 0.43 Bohr magnetons per cell
SG: I4_1/amd, No. 141
final energy: -3.943 eV per atom
DOS(E_F): 1.0 states/eV/f.u.

A plane-wave DFT calculation with GGA-PBEsol was carried out for BaTa2Mo after structural relaxation.

Unit cell a=4.0344 b=4.0344 c=5.0106 alpha=90.00 beta=90.00 gamma=90.00
Sites, in units of the cell vectors:
Ba (0.0000, 0.0000, 0.0000)
Ta (0.0000, 0.5000, 0.5000)
Ta (0.5000, 0.0000, 0.5000)
Mo (0.5000, 0.5000, 0.0000)

crystal system: tetragonal
magnetic moment: 0.00 Bohr magnetons per cell
SG: P4/mmm, No. 123
final energy: -8.336 eV per atom
DOS(E_F): 5.4 states/eV/f.u.

A plane-wave DFT calculation with GGA-PBEsol was carried out for Cs3TaTe after structural relaxation.

Unit cell a=7.1574 b=7.1574 c=7.1574 alpha=90.00 beta=90.00 gamma=90.00
Sites, in units of the cell vectors:
Cs (0.0000, 0.0000, 0.5000)
Cs (0.0000, 0.5000, 0.0000)
Cs (0.5000, 0.0000, 0.0000)
Ta (0.5000, 0.5000, 0.5000)
Te (0.0000, 0.0000, 0.0000)

crystal system: cubic
magnetic moment: 4.00 Bohr magnetons per cell
SG: Pm-3m, No. 221
final energy: -2.839 eV per atom
uncorrected formation energy: 4.71 eV/f.u.
DOS(E_F): 17.6 states/eV/f.u.

A plane-wave DFT calculation with GGA-PBEsol was carried out for IrAuS3 after structural relaxation.

Unit cell a=4.5908 b=4.5908 c=4.5908 alpha=90.00 beta=90.00 gamma=90.00
Sites, in units of the cell vectors:
Ir (0.0000, 0.0000, 0.0000)
Au (0.5000, 0.5000, 0.5000)
S (0.0000, 0.0000, 0.5000)
S (0.0000, 0.5000, 0.0000)
S (0.5000, 0.0000, 0.0000)

crystal system: cubic
magnetic moment: 0.01 Bohr magnetons per cell
SG: Pm-3m, No. 221
final energy: -4.594 eV per atom
uncorrected formation energy: 3.93 eV/f.u.
DOS(E_F): 6.9 states/eV/f.u.

A plane-wave DFT calculation with GGA-PBEsol was carried out for MnRe2Mo after structural relaxation.

Unit cell a=3.0714 b=3.0714 c=5.9338 alpha=90.00 beta=90.00 gamma=90.00
Sites, in units of the cell vectors:
Mn (0.0000, 0.0000, 0.0000)
Re (0.0000, 0.0000, 0.4937)
Re (0.5000, 0.5000, 0.7515)
Mo (0.5000, 0.5000, 0.2165)

crystal system: tetragonal
magnetic moment: 1.86 Bohr magnetons per cell
SG: P4mm, No. 99
final energy: -11.890 eV per atom
DOS(E_F): 4.4 states/eV/f.u.

A plane-wave DFT calculation with GGA-PBEsol was carried out for CaZnBAu2 after structural relaxation.

Unit cell a=4.8997 b=4.8997 c=3.9678 alpha=90.00 beta=90.00 gamma=90.00
Sites, in units of the cell vectors:
Ca (0.0000, 0.0000, 0.0000)
Zn (0.5000, 0.5000, 0.5000)
B (0.5000, 0.5000, 0.0000)
Au (0.0000, 0.5000, 0.5000)
Au (0.5000, 0.0000, 0.5000)

crystal system: tetragonal
magnetic moment: 0.00 Bohr magnetons per cell
SG: P4/mmm, No. 123
final energy: -3.438 eV per atom
DOS(E_F): 1.6 states/eV/f.u.

A plane-wave DFT calculation with GGA-PBEsol was carried out for KZrOsC2 after structural relaxation.

Unit cell a=4.0054 b=4.0054 c=5.3404 alpha=90.00 beta=90.00 gamma=90.00
Sites, in units of the cell vectors:
K (0.0000, 0.0000, 0.0000)
Zr (0.5000, 0.5000, 0.0000)
Os (0.0000, 0.0000, 0.5000)
C (0.0000, 0.5000, 0.5000)
C (0.5000, 0.0000, 0.5000)

crystal system: tetragonal
magnetic moment: 1.08 Bohr magnetons per cell
SG: P4/mmm, No. 123
final energy: -6.255 eV per atom
DOS(E_F): 3.9 states/eV/f.u.

A plane-wave DFT calculation with GGA-PBEsol was carried out for CsVZnF6 after structural relaxation.

Unit cell a=7.3520 b=7.3520 c=7.3520 alpha=120.57 beta=119.82 gamma=89.66
Sites, in units of the cell vectors:
Cs (0.3678, 0.1178, 0.2500)
Cs (0.6322, 0.8822, 0.7500)
V (0.0000, 0.5000, 0.5000)
V (0.5000, 0.5000, 0.0000)
Zn (0.0000, 0.0000, 0.5000)
Zn (0.0000, 0.5000, 0.0000)
F (0.0742, 0.8242, 0.2500)
F (0.0778, 0.4330, 0.2644)
F (0.0778, 0.8134, 0.6448)
F (0.3087, 0.5587, 0.7500)
F (0.3314, 0.1866, 0.7644)
F (0.3314, 0.5670, 0.1448)
F (0.6686, 0.4330, 0.8552)
F (0.6686, 0.8134, 0.2356)
F (0.6913, 0.4413, 0.2500)
F (0.9222, 0.1866, 0.3552)
F (0.9222, 0.5670, 0.7356)
F (0.9258, 0.1758, 0.7500)

crystal system: orthorhombic
magnetic moment: 4.00 Bohr magnetons per cell
SG: Imma, No. 74
final energy: -5.355 eV per atom
uncorrected formation energy: -24.47 eV/f.u.
DOS(E_F): 6.6 states/eV/f.u.

A plane-wave DFT calculation with GGA-PBEsol was carried out for NaRh3Pb after structural relaxation.

Unit cell a=4.9689 b=4.9689 c=4.9689 alpha=90.00 beta=90.00 gamma=90.00
Sites, in units of the cell vectors:
Na (0.0000, 0.0000, 0.0000)
Rh (0.0000, 0.5000, 0.5000)
Rh (0.5000, 0.0000, 0.5000)
Rh (0.5000, 0.5000, 0.0000)
Pb (0.5000, 0.5000, 0.5000)

crystal system: cubic
magnetic moment: 1.57 Bohr magnetons per cell
SG: Pm-3m, No. 221
final energy: -4.644 eV per atom
DOS(E_F): 8.9 states/eV/f.u.

A plane-wave DFT calculation with GGA-PBEsol was carried out for Sr2TaSi after structural relaxation.

Unit cell a=5.5190 b=5.5190 c=5.5190 alpha=130.18 beta=130.18 gamma=73.13
Sites, in units of the cell vectors:
Sr (0.0000, 0.0000, 0.0000)
Sr (0.7500, 0.2500, 0.5000)
Ta (0.5000, 0.5000, 0.0000)
Si (0.2500, 0.7500, 0.5000)

crystal system: tetragonal
magnetic moment: 0.02 Bohr magnetons per cell
SG: I-4m2, No. 119
final energy: -4.779 eV per atom
uncorrected formation energy: 2.86 eV/f.u.
DOS(E_F): 4.6 states/eV/f.u.